Pa7Sn | PBE | optimized geometry

Cell and atoms, written as CIF:
```
data_Pa7Sn
_chemical_formula_sum 'Pa28 Sn4'
_cell_length_a 9.248
_cell_length_b 9.248
_cell_length_c 9.248
_cell_angle_alpha 90.00
_cell_angle_beta 90.00
_cell_angle_gamma 90.00
_space_group_name_H-M_alt 'F m -3 m'
_space_group_IT_number 225
_space_group_name_Hall '-F 4 2 3'
loop_
_atom_site_label
_atom_site_type_symbol
_atom_site_fract_x
_atom_site_fract_y
_atom_site_fract_z
Pa1 Pa 0.000 0.000 0.000
Pa2 Pa 0.000 0.250 0.250
Sn1 Sn 0.000 0.000 0.500
```

Computed properties:
VASP energy: -286.916 eV per cell
Formation enthalpy at 0 K: -0.157 eV/atom